Record 1
## TaBePt4 (PBEsol)

Data for TaBePt4 after structural relaxation. Values from VASP.

Geometry as Quantum ESPRESSO input:
```
&SYSTEM
  ibrav = 0, nat = 6, ntyp = 3
/
ATOMIC_SPECIES
Ta 180.95 Ta.upf
Be 9.01 Be.upf
Pt 195.08 Pt.upf
ATOMIC_POSITIONS crystal
Ta 0.000 0.000 0.000
Be 0.750 0.750 0.750
Pt 0.375 0.375 0.375
Pt 0.375 0.375 0.875
Pt 0.375 0.875 0.375
Pt 0.875 0.375 0.375
CELL_PARAMETERS angstrom
0.000 3.624 3.624
3.624 0.000 3.624
3.624 3.624 0.000
```

## Properties
The density is 16.93 g cm⁻³. As for the energy relative to the elements: 30 meV/atom. The final energy is -44.22 eV per cell. Its space group is F-43m (216).

=====

Record 2
## NaTiNi2Cl (PBEsol)

Data for NaTiNi2Cl after structural relaxation. Values from VASP.

Geometry as Quantum ESPRESSO input:
```
&SYSTEM
  ibrav = 0, nat = 5, ntyp = 4
/
ATOMIC_SPECIES
Na 22.99 Na.upf
Ti 47.87 Ti.upf
Ni 58.69 Ni.upf
Cl 35.45 Cl.upf
ATOMIC_POSITIONS crystal
Na 0.000 0.000 0.000
Ti 0.500 0.500 0.500
Ni 0.000 0.500 0.500
Ni 0.500 0.000 0.500
Cl 0.500 0.500 0.000
CELL_PARAMETERS angstrom
4.439 0.000 0.000
0.000 4.439 0.000
0.000 0.000 4.776
```

## Properties
The density is 3.95 g cm⁻³. The final energy is -22.76 eV per cell. Its space group is P4/mmm (123).

=====

Record 3
## MnOsPb2Au (PBEsol)

Data for MnOsPb2Au after structural relaxation. Values from VASP.

Geometry as Quantum ESPRESSO input:
```
&SYSTEM
  ibrav = 0, nat = 5, ntyp = 4
/
ATOMIC_SPECIES
Mn 54.94 Mn.upf
Os 190.23 Os.upf
Pb 207.20 Pb.upf
Au 196.97 Au.upf
ATOMIC_POSITIONS crystal
Mn 0.000 0.000 0.000
Os 0.500 0.500 0.000
Pb 0.000 0.500 0.500
Pb 0.500 0.000 0.500
Au 0.000 0.000 0.500
CELL_PARAMETERS angstrom
5.238 0.000 0.000
0.000 5.238 0.000
0.000 0.000 4.821
```

## Properties
The density is 10.75 g cm⁻³. As for the energy relative to the elements: 1734 meV/atom. The final energy is -25.23 eV per cell. Its space group is P4/mmm (123).

=====

Record 4
## Nb3Ir2Se10 (PBEsol)

Data for Nb3Ir2Se10 after structural relaxation. Values from VASP.

Geometry as Quantum ESPRESSO input:
```
&SYSTEM
  ibrav = 0, nat = 15, ntyp = 3
/
ATOMIC_SPECIES
Nb 92.91 Nb.upf
Ir 192.22 Ir.upf
Se 78.96 Se.upf
ATOMIC_POSITIONS crystal
Nb 0.000 0.000 0.000
Nb 0.156 0.363 0.645
Nb 0.844 0.637 0.355
Ir 0.376 0.794 0.208
Ir 0.624 0.206 0.792
Se 0.017 0.980 0.302
Se 0.202 0.438 0.308
Se 0.223 0.356 0.914
Se 0.405 0.732 0.499
Se 0.409 0.858 0.901
Se 0.591 0.142 0.099
Se 0.595 0.268 0.501
Se 0.777 0.644 0.086
Se 0.798 0.562 0.692
Se 0.983 0.020 0.698
CELL_PARAMETERS angstrom
5.741 0.000 0.000
0.150 7.181 0.000
2.817 3.027 7.785
```

## Properties
The density is 7.52 g cm⁻³. The final energy is -99.52 eV per cell. Its space group is P-1 (2).

=====

Record 5
## CaTi2BeCd (PBEsol)

Data for CaTi2BeCd after structural relaxation. Values from VASP.

Geometry as Quantum ESPRESSO input:
```
&SYSTEM
  ibrav = 0, nat = 5, ntyp = 4
/
ATOMIC_SPECIES
Ca 40.08 Ca.upf
Ti 47.87 Ti.upf
Be 9.01 Be.upf
Cd 112.41 Cd.upf
ATOMIC_POSITIONS crystal
Ca 0.000 0.000 0.000
Ti 0.000 0.500 0.000
Ti 0.500 0.000 0.000
Be 0.500 0.500 0.500
Cd 0.000 0.000 0.500
CELL_PARAMETERS angstrom
4.497 0.000 0.000
0.000 4.497 0.000
0.000 0.000 5.205
```

## Properties
The density is 4.06 g cm⁻³. As for the energy relative to the elements: 1886 meV/atom. The final energy is -14.55 eV per cell. Its space group is P4/mmm (123).

=====

Record 6
## LaMg2Al (PBEsol)

Data for LaMg2Al after structural relaxation. Values from VASP.

Geometry as Quantum ESPRESSO input:
```
&SYSTEM
  ibrav = 0, nat = 4, ntyp = 3
/
ATOMIC_SPECIES
La 138.91 La.upf
Mg 24.30 Mg.upf
Al 26.98 Al.upf
ATOMIC_POSITIONS crystal
La 0.000 0.000 0.000
Mg 0.264 0.000 0.523
Mg 0.668 0.500 0.334
Al 0.385 0.500 0.771
CELL_PARAMETERS angstrom
3.201 0.000 0.000
0.000 4.746 0.000
-1.601 0.000 6.463
```

## Properties
The density is 3.63 g cm⁻³. As for the energy relative to the elements: -118 meV/atom. The final energy is -13.35 eV per cell. Its space group is Pm (6).

=====

- Which of these has the lowest final energy?
  Nb3Ir2Se10

=====

- Number 4 is which compound?
  Nb3Ir2Se10

=====

Copy entry 5 word for word.
## CaTi2BeCd (PBEsol)

Data for CaTi2BeCd after structural relaxation. Values from VASP.

Geometry as Quantum ESPRESSO input:
```
&SYSTEM
  ibrav = 0, nat = 5, ntyp = 4
/
ATOMIC_SPECIES
Ca 40.08 Ca.upf
Ti 47.87 Ti.upf
Be 9.01 Be.upf
Cd 112.41 Cd.upf
ATOMIC_POSITIONS crystal
Ca 0.000 0.000 0.000
Ti 0.000 0.500 0.000
Ti 0.500 0.000 0.000
Be 0.500 0.500 0.500
Cd 0.000 0.000 0.500
CELL_PARAMETERS angstrom
4.497 0.000 0.000
0.000 4.497 0.000
0.000 0.000 5.205
```

## Properties
The density is 4.06 g cm⁻³. As for the energy relative to the elements: 1886 meV/atom. The final energy is -14.55 eV per cell. Its space group is P4/mmm (123).

=====

- final energy of number 6 (LaMg2Al)?
  -13.35 eV per cell